# 1
NaSm2AgS4 | GGA-PBE | relaxed

Properties
**ΔE_f (raw)**: -12.23 eV/f.u.
**E_tot**: -5.293 eV/atom
**D(E_F)**: 0.00 states/eV/cell
**ρ**: 4.97 g/cm3

a b c (Å): 7.9709 8.1514 11.5110
angles (deg): 90.00 90.00 90.00
With the nearest neighbours (Å) after each atom.
Space group Imma (No. 74)
Asymmetric unit:
Na1 0.2500 0.2500 0.2500 [4 per cell]  6 S 2.91-2.93
Sm1 0.0000 0.0000 0.0000 [4 per cell]  6 S 2.80-2.82
Sm2 0.2500 0.2500 0.7500 [4 per cell]  6 S 2.80-2.82
Ag1 0.0000 0.0000 0.5000 [4 per cell]  6 S 2.88-2.96
S1 0.0000 0.0095 0.7568 [8 per cell]  3 Sm 2.80, 2 Na 2.91, 1 Ag 2.96
S2 0.2452 0.2500 0.9953 [8 per cell]  3 Sm 2.82, 2 Ag 2.88, 1 Na 2.93

***

# 2
Na2AgSnS4 | GGA-PBE | relaxed

Properties
**ΔE_f (raw)**: -4.04 eV/f.u.
**E_tot**: -3.756 eV/atom
**D(E_F)**: 16.92 states/eV/cell
**ρ**: 3.75 g/cm3

a b c (Å): 7.2634 7.2634 6.7255
angles (deg): 90.00 90.00 90.00
With the nearest neighbours (Å) after each atom.
Space group I-42m (No. 121)
Asymmetric unit:
Na1 0.0000 0.5000 0.0000 [4 per cell]  8 S 3.06-3.23, 2 Na 3.36
Ag1 0.0000 0.0000 0.0000 [2 per cell]  4 S 2.63
Sn1 0.0000 0.0000 0.5000 [2 per cell]  4 S 2.42
S1 0.1834 0.1834 0.2739 [8 per cell]  1 Sn 2.42, 1 Ag 2.63

***

# 3
NaAgSnS3 | GGA-PBE | relaxed

Properties
**ΔE_f (raw)**: -3.03 eV/f.u.
**E_tot**: -3.931 eV/atom
**D(E_F)**: 0.05 states/eV/cell
**ρ**: 4.05 g/cm3

a b c (Å): 7.3788 3.8628 10.3701
angles (deg): 90.00 106.44 90.00
With the nearest neighbours (Å) after each atom.
Space group P2_1/m (No. 11)
Asymmetric unit:
Na1 0.1463 0.2500 0.1723 [2 per cell]  5 S 2.75-3.05
Ag1 0.1438 0.7500 0.5320 [2 per cell]  2 S 2.46-2.48
Sn1 0.3656 0.2500 0.8336 [2 per cell]  6 S 2.50-2.73
S1 0.0206 0.2500 0.7107 [2 per cell]  1 Ag 2.46, 1 Sn 2.50, 2 Na 2.75
S2 0.2960 0.7500 0.9992 [2 per cell]  3 Sn 2.61-2.73
S3 0.4591 0.7500 0.6987 [2 per cell]  1 Ag 2.48, 2 Sn 2.59

***

# 4
NaTaAg2S4 | GGA-PBE | relaxed

Properties
**ΔE_f (raw)**: -5.48 eV/f.u.
**E_tot**: -5.107 eV/atom
**ρ**: 4.52 g/cm3

a b c (Å): 8.6780 8.6890 10.6893
angles (deg): 90.00 90.00 90.00
With the nearest neighbours (Å) after each atom.
Space group Fmm2 (No. 42)
Asymmetric unit:
Na1 0.0000 0.0000 0.0000 [4 per cell]  4 S 2.79
Ta1 0.0000 0.0000 0.4993 [4 per cell]  4 S 2.30
Ag1 0.2500 0.2500 0.2496 [8 per cell]  4 S 2.57-2.58
S1 0.0000 0.2165 0.6227 [8 per cell]  1 Ta 2.30
S2 0.2168 0.0000 0.3760 [8 per cell]  1 Ta 2.30

***

# 5
Na2TaAg3S6 | GGA-PBE | relaxed

Properties
**ΔE_f (raw)**: -5.69 eV/f.u.
**E_tot**: -4.459 eV/atom
**D(E_F)**: 19.01 states/eV/cell
**ρ**: 4.96 g/cm3

a b c (Å): 6.8736 12.3504 6.3389
angles (deg): 90.00 112.41 90.00
With the nearest neighbours (Å) after each atom.
Space group C2/m (No. 12)
Asymmetric unit:
Na1 0.0000 0.1775 0.0000 [4 per cell]  6 S 2.80-3.00
Ta1 0.0000 0.5000 0.0000 [2 per cell]  6 S 2.40-2.52
Ag1 0.0000 0.0000 0.5000 [2 per cell]  4 S 2.61
Ag2 0.0000 0.3511 0.5000 [4 per cell]  4 S 2.52-2.72
S1 0.2237 0.3567 0.2645 [8 per cell]  1 Ta 2.52, 2 Ag 2.52-2.61
S2 0.2392 0.5000 0.8049 [4 per cell]  1 Ta 2.40

***

# 6
Na3AgTe3S8 | GGA-PBE | relaxed

Properties
**ΔE_f (raw)**: -3.90 eV/f.u.
**E_tot**: -3.544 eV/atom
**D(E_F)**: 21.47 states/eV/cell
**ρ**: 3.77 g/cm3

a b c (Å): 7.8436 7.8436 20.2298
angles (deg): 90.00 90.00 120.00
With the nearest neighbours (Å) after each atom.
Space group R-3m (No. 166, hexagonal axes)
Asymmetric unit:
Na1 0.0000 0.5000 0.0000 [9 per cell]  6 S 2.91-2.98
Ag1 0.0000 0.0000 0.5000 [3 per cell]  6 S 2.76
Te1 0.0000 0.5000 0.5000 [9 per cell]  6 S 2.67-2.74
S1 0.0000 0.0000 0.2430 [6 per cell]  3 Te 2.74, 3 Na 2.91
S2 0.0096 0.5048 0.7605 [18 per cell]  2 Te 2.67, 1 Ag 2.76, 2 Na 2.98

***

Which of these has the highest E_tot? Na3AgTe3S8